[1]
MnTc2Te | PBE | relaxed

E_form (uncorrected) ... 48.2 kJ/mol of atoms
Symmetry ... F-43m (216)
E ... -7.762 eV/atom

abc: 4.4788 4.4788 4.4788
angles: 60.00 60.00 60.00
Site moments in Bohr magnetons follow the coordinates.
Fractional positions:
1 Mn 0.5000 0.5000 0.5000  2.84
2 Tc 0.0000 0.0000 0.0000  -0.07
3 Tc 0.7500 0.7500 0.7500  0.89
4 Te 0.2500 0.2500 0.2500  0.02



[2]
SbH2PtS | PBE | relaxed

Symmetry ... P1 (1)
E ... -4.212 eV/atom
Energy above the most stable polymorph in this dataset ... 107 meV/atom

abc: 2.9332 4.4109 6.8573
angles: 89.87 77.67 70.67
Site moments in Bohr magnetons follow the coordinates.
Fractional positions:
1 Sb 0.5469 0.6883 0.0842  0.00
2 H 0.4522 0.2175 0.7476  0.00
3 H 0.0464 0.3790 0.3981  0.00
4 Pt 0.6872 0.1837 0.3107  0.01
5 S 0.6503 0.9326 0.6338  0.10



[3]
AcGdCuRh | PBE | relaxed

Symmetry ... F-43m (216)
E ... -7.785 eV/atom
Formation energy ... -0.375 eV per atom

abc: 5.1316 5.1316 5.1316
angles: 60.00 60.00 60.00
Site moments in Bohr magnetons follow the coordinates.
Fractional positions:
1 Ac 0.5000 0.5000 0.5000  0.02
2 Gd 0.0000 0.0000 0.0000  7.00
3 Rh 0.7500 0.7500 0.7500  -0.04
4 Cu 0.2500 0.2500 0.2500  0.00



[4]
AcSmThHg | PBE | relaxed

Symmetry ... F-43m (216)
E ... -4.041 eV/atom
Formation energy ... 0.097 eV per atom

abc: 5.6396 5.6396 5.6396
angles: 60.00 60.00 60.00
Fractional positions:
1 Ac 0.7500 0.7500 0.7500
2 Sm 0.0000 0.0000 0.0000
3 Hg 0.2500 0.2500 0.2500
4 Th 0.5000 0.5000 0.5000



[5]
MgPaGaCu | PBE | relaxed

Symmetry ... F-43m (216)
E ... -4.661 eV/atom
Formation energy ... -0.108 eV per atom

abc: 4.7933 4.7933 4.7933
angles: 60.00 60.00 60.00
Fractional positions:
1 Mg 0.7500 0.7500 0.7500
2 Pa 0.2500 0.2500 0.2500
3 Cu 0.0000 0.0000 0.0000
4 Ga 0.5000 0.5000 0.5000



[6]
MgCo2Rh | PBE | relaxed

Symmetry ... Pmmm (47)
E ... -5.791 eV/atom
Formation energy ... -0.002 eV per atom

abc: 2.9796 4.1081 4.2977
angles: 90.00 90.00 90.00
Site moments in Bohr magnetons follow the coordinates.
Fractional positions:
1 Co 0.0000 0.0000 0.0000  1.58
2 Co 0.5000 0.5000 0.0000  1.92
3 Mg 0.5000 0.0000 0.5000  -0.02
4 Rh 0.0000 0.5000 0.5000  0.38



[7]
Ac2PmNdBi4 | PBE | relaxed

Symmetry ... P2/m (10)
E ... -5.121 eV/atom
Formation energy ... -0.964 eV per atom

abc: 4.7391 8.2106 8.2025
angles: 70.56 90.00 90.00
Fractional positions:
1 Ac 0.0000 0.0000 0.0000
2 Ac 0.5000 0.0000 0.5000
3 Pm 0.0000 0.5000 0.5000
4 Nd 0.5000 0.5000 0.0000
5 Bi 0.0000 0.7349 0.7541
6 Bi 0.0000 0.2651 0.2459
7 Bi 0.5000 0.7343 0.2560
8 Bi 0.5000 0.2657 0.7440



[8]
ScBe2Tc | PBE | relaxed

Symmetry ... P4/mmm (123)
E ... -6.075 eV/atom
Formation energy ... -0.037 eV per atom
Energy above the most stable polymorph in this dataset ... 186 meV/atom

abc: 3.9023 3.9023 3.4048
angles: 90.00 90.00 90.00
Fractional positions:
1 Sc 0.5000 0.0000 0.5000
2 Be 0.0000 0.0000 0.0000
3 Be 0.5000 0.5000 0.0000
4 Tc 0.0000 0.5000 0.5000